No. 1
A relaxed structure of Dy4SiTe3. Source: OQMD via LeMat-Bulk, functional PBE-GGA.

- space-group type = Cmmm (65)
- volume (Å³/cell) = 227.24
- E_tot (eV/atom) = -5.40

The structure in POSCAR format:
```
Dy4SiTe3
1.0
4.3568 -6.1091 0.0000
4.3568 6.1091 0.0000
0.0000 0.0000 4.2689
Te Dy Si
3 4 1
direct
0.5000 0.5000 0.5000
0.0000 0.5000 0.0000
0.5000 0.0000 0.0000
0.2315 0.7685 0.5000
0.2212 0.2212 0.0000
0.7788 0.7788 0.0000
0.7685 0.2315 0.5000
0.0000 0.0000 0.5000
```


No. 2
A relaxed structure of DySiTe. Source: OQMD via LeMat-Bulk, functional PBE-GGA.

- space-group type = F-43m (216)
- volume (Å³/cell) = 88.10
- E_tot (eV/atom) = -4.53

The structure in POSCAR format:
```
DySiTe
1.0
-2.9719 -2.2634 3.3153
-3.6861 -2.9792 -1.5759
0.3184 -4.9384 0.6762
Si Dy Te
1 1 1
direct
0.2500 0.2500 0.2500
0.0000 0.0000 0.0000
0.7500 0.7500 0.7500
```


No. 3
A relaxed structure of DySiTe. Source: OQMD via LeMat-Bulk, functional PBE-GGA.

- space-group type = F-43m (216)
- volume (Å³/cell) = 81.47
- E_tot (eV/atom) = -4.51

The structure in POSCAR format:
```
DySiTe
1.0
1.8040 -4.3602 -1.1884
-1.5780 -3.9925 2.2908
-2.7793 -3.2215 -2.3612
Si Te Dy
1 1 1
direct
0.0000 0.0000 0.0000
0.7500 0.7500 0.7500
0.2500 0.2500 0.2500
```


No. 4
A relaxed structure of DyThSi. Source: OQMD via LeMat-Bulk, functional PBE-GGA.

- energy relative to the lowest polymorph listed for this composition (meV/atom) = 0
- space-group type = F-43m (216)
- volume (Å³/cell) = 83.45

The structure in POSCAR format:
```
DyThSi
1.0
0.0000 3.4685 3.4685
3.4685 0.0000 3.4685
3.4685 3.4685 0.0000
Si Dy Th
1 1 1
direct
0.0000 0.0000 0.0000
0.2500 0.2500 0.2500
0.7500 0.7500 0.7500
```


No. 5
A relaxed structure of DyTlSi. Source: OQMD via LeMat-Bulk, functional PBE-GGA.

- energy relative to the lowest polymorph listed for this composition (meV/atom) = 83
- space-group type = F-43m (216)
- volume (Å³/cell) = 83.88

The structure in POSCAR format:
```
DyTlSi
1.0
0.0000 3.4744 3.4744
3.4744 0.0000 3.4744
3.4744 3.4744 0.0000
Tl Dy Si
1 1 1
direct
0.7500 0.7500 0.7500
0.0000 0.0000 0.0000
0.2500 0.2500 0.2500
```


No. 6
A relaxed structure of DyTlSi. Source: OQMD via LeMat-Bulk, functional PBE-GGA.

- energy relative to the lowest polymorph listed for this composition (meV/atom) = 0
- space-group type = F-43m (216)
- volume (Å³/cell) = 78.40

The structure in POSCAR format:
```
DyTlSi
1.0
0.7956 1.6348 4.4467
1.2176 4.5960 0.6875
-3.1193 3.0322 2.0383
Si Dy Tl
1 1 1
direct
0.0000 0.0000 0.0000
0.2500 0.2500 0.2500
0.7500 0.7500 0.7500
```


No. 7
A relaxed structure of DyTmSi. Source: OQMD via LeMat-Bulk, functional PBE-GGA.

- energy relative to the lowest polymorph listed for this composition (meV/atom) = 0
- space-group type = F-43m (216)
- volume (Å³/cell) = 78.28

The structure in POSCAR format:
```
DyTmSi
1.0
3.3399 -1.4114 3.1478
3.0871 3.1959 1.8197
-0.3373 1.3096 4.6073
Dy Tm Si
1 1 1
direct
0.2500 0.2500 0.2500
0.7500 0.7500 0.7500
0.0000 0.0000 0.0000
```


No. 8
A relaxed structure of DyUSi. Source: OQMD via LeMat-Bulk, functional PBE-GGA.

- energy relative to the lowest polymorph listed for this composition (meV/atom) = 0
- space-group type = F-43m (216)
- volume (Å³/cell) = 78.01

The structure in POSCAR format:
```
DyUSi
1.0
1.6764 -2.8724 3.4555
1.1693 1.8252 4.2782
-2.7070 -0.9646 3.8397
U Si Dy
1 1 1
direct
0.7500 0.7500 0.7500
0.0000 0.0000 0.0000
0.2500 0.2500 0.2500
```